Entry 1:
Here is RbNaTl2Rh after structural relaxation from Alexandria via LeMat-Bulk. Energies are from PBE-GGA.

Output
ΔE_f = -0.059 eV/atom
Energy relative to the lowest polymorph listed for this composition = 0.0 meV/atom
Total moment = 0.000 μB/cell
E_tot = -0.108 Ha/atom

Structure (POSCAR):
```
RbNaTl2Rh
1.0
5.330 0.000 0.000
0.000 5.330 0.000
0.000 0.000 5.671
Rb Na Tl Rh
1 1 2 1
Cartesian
0.000 0.000 0.000
2.665 2.665 0.000
0.000 2.665 2.835
2.665 0.000 2.835
2.665 2.665 2.835
```

Entry 2:
Here is TbEu2H after structural relaxation from Alexandria via LeMat-Bulk. Energies are from PBE-GGA.

Output
Energy relative to the lowest polymorph listed for this composition = 189.4 meV/atom
Total moment = 14.619 μB/cell
E_tot = -0.260 Ha/atom

Structure (POSCAR):
```
TbEu2H
1.0
3.428 0.000 0.000
0.000 3.428 0.000
0.000 0.000 9.140
Tb Eu H
1 2 1
Cartesian
0.000 0.000 0.000
1.714 1.714 2.890
1.714 1.714 6.250
0.000 0.000 4.570
```

Entry 3:
Here is Ba2CaHgO after structural relaxation from Alexandria via LeMat-Bulk. Energies are from PBE-GGA.

Output
ΔE_f (raw) = -1.243 eV/atom
Total moment = 0.000 μB/cell
E_tot = -0.127 Ha/atom

Structure (POSCAR):
```
Ba2CaHgO
1.0
5.768 0.000 0.000
0.000 5.768 0.000
0.000 0.000 4.624
Ba Ca Hg O
2 1 1 1
Cartesian
0.000 2.884 0.000
2.884 0.000 0.000
0.000 0.000 2.312
2.884 2.884 2.312
0.000 0.000 0.000
```

Entry 4:
Here is Al5CuMo2 after structural relaxation from Alexandria via LeMat-Bulk. Energies are from PBE-GGA.

Output
ΔE_f = -0.282 eV/atom
Total moment = 0.000 μB/cell
E_tot = -0.215 Ha/atom

Structure (POSCAR):
```
Al5CuMo2
1.0
3.779 0.000 0.000
0.000 3.779 0.000
0.000 0.000 8.283
Al Cu Mo
5 1 2
Cartesian
0.000 0.000 0.000
0.000 1.890 2.170
0.000 1.890 6.112
1.890 0.000 2.170
1.890 0.000 6.112
1.890 1.890 4.141
0.000 0.000 4.141
1.890 1.890 0.000
```

Entry 5:
Here is CaCeAlPb after structural relaxation from Alexandria via LeMat-Bulk. Energies are from PBE-GGA.

Output
ΔE_f = -0.287 eV/atom
Total moment = 0.888 μB/cell
E_tot = -0.152 Ha/atom

Structure (POSCAR):
```
CaCeAlPb
1.0
0.000 3.822 3.822
3.822 0.000 3.822
3.822 3.822 0.000
Ca Ce Al Pb
1 1 1 1
Cartesian
0.000 0.000 0.000
3.822 3.822 3.822
5.734 5.734 5.734
1.911 1.911 1.911
```

Entry 6:
Here is SiIrBr after structural relaxation from Alexandria via LeMat-Bulk. Energies are from PBE-GGA.

Output
Energy relative to the lowest polymorph listed for this composition = 44.5 meV/atom
ΔE_f (raw) = -0.103 eV/atom
Total moment = 0.000 μB/cell
E_tot = -0.199 Ha/atom

Structure (POSCAR):
```
SiIrBr
1.0
3.707 0.000 0.000
-1.853 3.210 0.000
0.000 0.000 5.757
Si Ir Br
1 1 1
Cartesian
0.000 0.000 0.000
0.000 2.140 4.916
1.853 1.070 3.140
```

Entry 7:
Here is BeNiTe after structural relaxation from Alexandria via LeMat-Bulk. Energies are from PBE-GGA.

Output
ΔE_f (raw) = -0.192 eV/atom
Total moment = 0.000 μB/cell
E_tot = -0.162 Ha/atom

Structure (POSCAR):
```
BeNiTe
1.0
3.570 0.000 0.000
1.784 3.810 0.000
0.002 1.510 7.856
Be Ni Te
2 2 2
Cartesian
0.000 0.000 0.000
1.787 1.450 0.700
3.570 3.068 1.117
3.577 0.791 2.110
1.797 2.301 3.122
3.567 3.643 6.613
```

Entry 8:
Here is CuAg3Sn3Se8 after structural relaxation from Alexandria via LeMat-Bulk. Energies are from PBE-GGA.

Output
ΔE_f (raw) = -0.202 eV/atom
Total moment = 0.001 μB/cell
E_tot = -0.136 Ha/atom

Structure (POSCAR):
```
CuAg3Sn3Se8
1.0
6.828 -3.942 0.000
6.828 3.942 0.000
-4.554 0.000 6.670
Cu Ag Sn Se
1 3 3 8
Cartesian
0.000 0.000 0.000
-2.277 0.000 3.335
1.137 1.971 3.335
1.137 -1.971 3.335
3.414 1.971 0.000
3.414 -1.971 0.000
6.828 0.000 0.000
2.084 0.000 1.537
5.781 2.129 1.543
3.321 2.129 5.127
-0.002 0.000 5.003
9.104 0.000 1.667
5.781 -2.129 1.543
3.321 -2.129 5.127
7.018 0.000 5.132
```

Entry 9:
Here is Ba6Cd2HAu after structural relaxation from Alexandria via LeMat-Bulk. Energies are from PBE-GGA.

Output
Total moment = 0.000 μB/cell
E_tot = -0.085 Ha/atom

Structure (POSCAR):
```
Ba6Cd2HAu
1.0
8.081 0.000 0.000
0.000 8.911 0.000
-7.788 0.000 11.762
Ba Cd H Au
12 4 2 2
Cartesian
-0.918 0.201 2.818
-4.812 4.254 8.699
1.337 6.124 0.689
-2.557 7.241 6.570
2.582 1.594 0.700
-1.312 2.861 6.581
1.604 6.050 5.181
-2.290 7.316 11.062
2.849 1.669 5.192
-1.045 2.786 11.073
5.105 4.656 3.062
1.211 8.710 8.943
-3.442 0.975 8.849
0.452 3.480 2.968
-0.160 5.430 8.794
3.734 7.936 2.913
0.000 0.000 0.000
-3.894 4.455 5.881
0.146 0.000 5.881
4.040 4.455 0.000
```

Entry 10:
Here is ErAlZnNi after structural relaxation from Alexandria via LeMat-Bulk. Energies are from PBE-GGA.

Output
ΔE_f = -0.423 eV/atom
Total moment = 0.000 μB/cell
E_tot = -0.157 Ha/atom

Structure (POSCAR):
```
ErAlZnNi
1.0
0.000 3.212 3.212
3.212 0.000 3.212
3.212 3.212 0.000
Er Al Zn Ni
1 1 1 1
Cartesian
0.000 0.000 0.000
3.212 3.212 3.212
4.818 4.818 4.818
1.606 1.606 1.606
```

Entry 11:
Here is LiCeN2 after structural relaxation from Alexandria via LeMat-Bulk. Energies are from PBE-GGA.

Output
Energy relative to the lowest polymorph listed for this composition = 126.3 meV/atom
ΔE_f (raw) = -0.535 eV/atom
Total moment = 1.011 μB/cell
E_tot = -0.245 Ha/atom

Structure (POSCAR):
```
LiCeN2
1.0
1.757 1.014 5.568
-1.757 1.014 5.568
0.000 -2.028 5.568
Li Ce N
1 1 2
Cartesian
0.000 0.000 0.000
0.000 0.000 3.095
0.000 0.000 9.885
0.000 0.000 13.099
```

Entry 12:
Here is Tm12BiPd6 after structural relaxation from Alexandria via LeMat-Bulk. Energies are from PBE-GGA.

Output
ΔE_f = -0.663 eV/atom
Total moment = 0.000 μB/cell
E_tot = -0.196 Ha/atom

Structure (POSCAR):
```
Tm12BiPd6
1.0
-4.936 4.936 4.936
4.936 -4.936 4.936
4.936 4.936 -4.936
Tm Bi Pd
12 1 6
Cartesian
4.936 -1.983 3.106
2.954 1.830 0.000
6.919 1.830 0.000
3.106 4.936 -1.983
1.830 0.000 2.954
0.000 2.954 1.830
4.936 1.983 3.106
3.106 4.936 1.983
1.830 0.000 6.919
-1.983 3.106 4.936
1.983 3.106 4.936
0.000 6.919 1.830
0.000 0.000 0.000
4.936 0.000 1.354
4.936 3.583 0.000
1.354 4.936 0.000
3.583 0.000 4.936
0.000 1.354 4.936
0.000 4.936 3.583
```